[1]
## Ce2SnGe2N2 (PBE)

Data for Ce2SnGe2N2 after structural relaxation.

```
Ce2SnGe2N2
1.0
-1.273 5.004 -0.719
-3.715 -3.658 0.024
-0.819 0.881 7.580
Ce Sn Ge N
2 1 2 2
direct
0.667 0.333 0.357 Ce
0.333 0.667 0.643 Ce
0.000 0.000 0.000 Sn
0.000 0.000 0.661 Ge
0.000 0.000 0.339 Ge
0.667 0.333 0.606 N
0.333 0.667 0.394 N
```

size of the total moment = 0.00 μB/f.u.
formation energy from raw total energies = 59.1 kJ/mol of formula units
space-group type = No. 164

[2]
## ScNb2S (PBE)

Data for ScNb2S after structural relaxation.

```
ScNb2S
1.0
-0.512 -1.861 -2.404
1.976 -0.041 -2.366
5.297 -7.294 2.543
Sc Nb S
1 2 1
direct
0.000 0.000 0.000 Sc
0.100 0.100 0.700 Nb
0.900 0.900 0.300 Nb
0.500 0.500 0.500 S
```

size of the total moment = 0.26 μB/f.u.
formation energy from raw total energies = 6.1 kJ/mol of formula units
space-group type = No. 166

[3]
## SmErTmSc (PBE)

Data for SmErTmSc after structural relaxation.

```
SmErTmSc
1.0
-4.573 1.589 -2.659
-3.960 -3.682 -1.127
-4.821 0.220 2.686
Sc Tm Sm Er
1 1 1 1
direct
0.000 0.000 0.000 Sc
0.500 0.500 0.500 Tm
0.250 0.250 0.250 Sm
0.750 0.750 0.750 Er
```

size of the total moment = 0.00 μB/f.u.
energy of formation = 0.112 eV per atom
space-group type = No. 216
energy relative to the lowest polymorph listed for this composition = 0.059 eV per formula unit

[4]
## K2SrCa (PBE)

Data for K2SrCa after structural relaxation.

```
K2SrCa
1.0
-5.791 2.188 -5.335
-3.782 -6.011 -4.043
1.699 3.414 7.228
Ca K Sr
1 2 1
direct
0.250 0.750 0.500 Ca
0.001 0.001 0.000 K
0.755 0.255 0.500 K
0.494 0.494 0.000 Sr
```

size of the total moment = 0.00 μB/f.u.
energy of formation = 0.170 eV per atom
space-group type = No. 44

[5]
## AgPOs2 (PBE)

Data for AgPOs2 after structural relaxation.

```
AgPOs2
1.0
-2.760 -2.934 -1.302
2.053 -1.240 -1.557
2.269 -3.577 3.250
Ag P Os
1 1 2
direct
0.500 0.573 0.733 Ag
0.000 0.213 0.450 P
0.000 0.902 0.069 Os
0.500 0.313 0.249 Os
```

size of the total moment = 0.00 μB/f.u.
energy of formation = 0.476 eV per atom
space-group type = No. 6

[6]
## Ti2GaH (PBE)

Data for Ti2GaH after structural relaxation.

```
Ti2GaH
1.0
-3.672 -1.791 -1.243
-3.127 -0.648 2.835
-3.565 2.344 -0.180
H Ga Ti
1 1 2
direct
0.000 0.000 0.000 H
0.500 0.500 0.500 Ga
0.250 0.250 0.250 Ti
0.750 0.750 0.750 Ti
```

size of the total moment = 0.00 μB/f.u.
space-group type = No. 225
energy relative to the lowest polymorph listed for this composition = 2.018 eV per formula unit

[7]
## V6GeN (PBE)

Data for V6GeN after structural relaxation.

```
V6GeN
1.0
4.483 0.088 0.341
0.424 4.463 0.341
1.827 1.695 5.841
V Ge N
6 1 1
direct
0.124 0.635 0.245 V
0.635 0.124 0.245 V
0.365 0.876 0.755 V
0.876 0.365 0.755 V
0.289 0.289 0.998 V
0.711 0.711 0.002 V
0.500 0.500 0.500 Ge
0.000 0.000 0.000 N
```

size of the total moment = 0.00 μB/f.u.
formation energy from raw total energies = -175.8 kJ/mol of formula units
space-group type = No. 12

[8]
## LaY2Si6 (PBE)

Data for LaY2Si6 after structural relaxation.

```
LaY2Si6
1.0
4.055 0.000 0.000
0.000 6.193 -3.576
0.000 0.000 7.151
La Y Si
1 2 6
direct
0.000 0.000 0.000 La
0.000 0.333 0.667 Y
0.000 0.667 0.333 Y
0.500 0.337 0.337 Si
0.500 0.663 0.663 Si
0.500 0.000 0.663 Si
0.500 0.663 0.000 Si
0.500 0.337 0.000 Si
0.500 0.000 0.337 Si
```

size of the total moment = 0.00 μB/f.u.
formation energy from raw total energies = -494.2 kJ/mol of formula units
space-group type = No. 191

What is the size of the total moment in the first record?
0.00 μB/f.u.